Entry 1:
Below is a relaxed Lu4SnC3 crystal, with properties calculated at the GGA-PBE level.

The electronic total energy is -6.60 eV per atom. Its space group is P6_3/mmc (194).

abc: 3.4856 3.4856 27.3271
angles: 90.00 90.00 120.00
With the nearest neighbours (Å) after each atom.
Element x y z (fractional)
1 Lu 0.0000 0.0000 0.1514  3 C 2.34
2 Lu 0.0000 0.0000 0.3486  3 C 2.34
3 Lu 0.0000 0.0000 0.6514  3 C 2.34
4 Lu 0.0000 0.0000 0.8486  3 C 2.34
5 Lu 0.3333 0.6667 0.0530  6 C 2.48-2.51
6 Lu 0.3333 0.6667 0.4470  6 C 2.48-2.51
7 Lu 0.6667 0.3333 0.5530  6 C 2.48-2.51
8 Lu 0.6667 0.3333 0.9470  6 C 2.48-2.51
9 Sn 0.3333 0.6667 0.2500  6 Lu 3.36, 6 Sn 3.49
10 Sn 0.6667 0.3333 0.7500  6 Lu 3.36, 6 Sn 3.49
11 C 0.0000 0.0000 0.0000  6 Lu 2.48
12 C 0.0000 0.0000 0.5000  6 Lu 2.48
13 C 0.3333 0.6667 0.6077  6 Lu 2.34-2.51
14 C 0.3333 0.6667 0.8923  6 Lu 2.34-2.51
15 C 0.6667 0.3333 0.1077  6 Lu 2.34-2.51
16 C 0.6667 0.3333 0.3923  6 Lu 2.34-2.51

=====

Entry 2:
Below is a relaxed YFeHgGe crystal, with properties calculated at the GGA-PBE level.

Its space group is F-43m (216). As for the energy above the most stable polymorph in this dataset: 0.1845 eV/atom.

abc: 4.8382 4.8382 4.8382
angles: 60.00 60.00 60.00
With the nearest neighbours (Å) after each atom.
Element x y z (fractional)
1 Y 0.0000 0.0000 0.0000  4 Fe 2.96, 4 Hg 2.96
2 Fe 0.7500 0.7500 0.7500  4 Ge 2.96, 4 Y 2.96
3 Hg 0.2500 0.2500 0.2500  4 Ge 2.96, 4 Y 2.96
4 Ge 0.5000 0.5000 0.5000  4 Fe 2.96, 4 Hg 2.96

=====

Entry 3:
Below is a relaxed La2Hf crystal, with properties calculated at the GGA-PBE level.

Its space group is Fd-3m (227). As for the energy above the most stable polymorph in this dataset: 0.0000 eV/atom. The energy of formation from the pure elements comes out at 0.66 eV/atom.

abc: 6.3694 6.3694 6.3694
angles: 60.00 60.00 60.00
With the nearest neighbours (Å) after each atom.
Element x y z (fractional)
1 La 0.0000 0.0000 0.0000  6 La 3.18
2 La 0.0000 0.0000 0.5000  6 La 3.18
3 La 0.0000 0.5000 0.0000  6 La 3.18
4 La 0.5000 0.0000 0.0000  6 La 3.18
5 Hf 0.3750 0.3750 0.3750  12 La 3.73, 4 Hf 3.90
6 Hf 0.6250 0.6250 0.6250  12 La 3.73, 4 Hf 3.90

=====

Entry 4:
Below is a relaxed Er5Te3Os crystal, with properties calculated at the GGA-PBE level.

Its space group is P-62m (189). As for the energy above the most stable polymorph in this dataset: 0.1991 eV/atom.

abc: 8.1021 8.1021 4.1876
angles: 90.00 90.00 120.00
With the nearest neighbours (Å) after each atom.
Element x y z (fractional)
1 Er 0.0000 0.6620 0.0000  1 Os 2.74
2 Er 0.3333 0.6667 0.5000  3 Te 3.06, 6 Er 3.40
3 Er 0.3380 0.3380 0.0000  1 Os 2.74
4 Er 0.6620 0.0000 0.0000  1 Os 2.74
5 Er 0.6667 0.3333 0.5000  3 Te 3.06, 6 Er 3.40
6 Te 0.0000 0.2566 0.5000  2 Os 2.95, 6 Er 3.06-3.24
7 Te 0.2566 0.0000 0.5000  2 Os 2.95, 6 Er 3.06-3.24
8 Te 0.7434 0.7434 0.5000  2 Os 2.95, 6 Er 3.06-3.24
9 Os 0.0000 0.0000 0.0000  3 Er 2.74, 6 Te 2.95

=====

Entry 5:
Below is a relaxed PrErPO crystal, with properties calculated at the GGA-PBE level.

Its space group is P4/nmm (129). As for the energy above the most stable polymorph in this dataset: 0.0754 eV/atom.

abc: 4.3865 4.3865 8.8545
angles: 90.00 90.00 90.00
With the nearest neighbours (Å) after each atom.
Element x y z (fractional)
1 Pr 0.2500 0.2500 0.1152  4 O 2.42
2 Pr 0.7500 0.7500 0.8848  4 O 2.42
3 Er 0.2500 0.7500 0.5000  4 P 2.73
4 Er 0.7500 0.2500 0.5000  4 P 2.73
5 P 0.2500 0.2500 0.6835  4 Er 2.73
6 P 0.7500 0.7500 0.3165  4 Er 2.73
7 O 0.2500 0.7500 0.0000  4 Pr 2.42
8 O 0.7500 0.2500 0.0000  4 Pr 2.42

=====

Entry 6:
Below is a relaxed HfCdFeBi crystal, with properties calculated at the GGA-PBE level.

Its space group is F-43m (216). As for the energy above the most stable polymorph in this dataset: 0.0000 eV/atom.

abc: 4.8623 4.8623 4.8623
angles: 60.00 60.00 60.00
With the nearest neighbours (Å) after each atom.
Element x y z (fractional)
1 Hf 0.0000 0.0000 0.0000  4 Cd 2.98, 4 Fe 2.98
2 Cd 0.2500 0.2500 0.2500  4 Bi 2.98, 4 Hf 2.98
3 Fe 0.7500 0.7500 0.7500  4 Bi 2.98, 4 Hf 2.98
4 Bi 0.5000 0.5000 0.5000  4 Fe 2.98, 4 Cd 2.98

=====

Entry 7:
Below is a relaxed LuB crystal, with properties calculated at the GGA-PBE level.

Its space group is Fm-3m (225). As for the energy above the most stable polymorph in this dataset: 0.0914 eV/atom.

abc: 3.6698 3.6698 3.6698
angles: 60.00 60.00 60.00
With the nearest neighbours (Å) after each atom.
Element x y z (fractional)
1 Lu 0.0000 0.0000 0.0000  6 B 2.59
2 B 0.5000 0.5000 0.5000  6 Lu 2.59

=====

Entry 8:
Below is a relaxed GaCoSn crystal, with properties calculated at the GGA-PBE level.

The electronic total energy is -4.83 eV per atom. Its space group is F-43m (216).

abc: 4.2041 4.2041 4.2041
angles: 60.00 60.00 60.00
With the nearest neighbours (Å) after each atom.
Element x y z (fractional)
1 Ga 0.0000 0.0000 0.0000  4 Co 2.57
2 Co 0.2500 0.2500 0.2500  4 Sn 2.57, 4 Ga 2.57
3 Sn 0.5000 0.5000 0.5000  4 Co 2.57

=====

Entry 9:
Below is a relaxed HoB4Ir crystal, with properties calculated at the GGA-PBE level.

Its space group is Immm (71). As for the energy above the most stable polymorph in this dataset: 0.0344 eV/atom.

abc: 4.7950 4.7950 4.7950
angles: 141.40 113.15 79.94
With the nearest neighbours (Å) after each atom.
Element x y z (fractional)
1 Ho 0.0000 0.0000 0.0000  12 B 2.56
2 B 0.0738 0.7440 0.3297  3 B 1.80
3 B 0.4143 0.7440 0.6703  3 B 1.80
4 B 0.5857 0.2560 0.3297  3 B 1.80
5 B 0.9262 0.2560 0.6703  3 B 1.80
6 Ir 0.5000 0.5000 0.0000  12 B 2.50-2.62

=====

Entry 10:
Below is a relaxed LiZrCuPb crystal, with properties calculated at the GGA-PBE level.

Its space group is F-43m (216). As for the energy above the most stable polymorph in this dataset: 0.1405 eV/atom.

abc: 4.7482 4.7482 4.7482
angles: 60.00 60.00 60.00
With the nearest neighbours (Å) after each atom.
Element x y z (fractional)
1 Li 0.0000 0.0000 0.0000  4 Cu 2.91, 4 Zr 2.91
2 Zr 0.2500 0.2500 0.2500  4 Pb 2.91, 4 Li 2.91
3 Cu 0.7500 0.7500 0.7500  4 Pb 2.91, 4 Li 2.91
4 Pb 0.5000 0.5000 0.5000  4 Cu 2.91, 4 Zr 2.91

=====

Entry 11:
Below is a relaxed CuSnW4C2 crystal, with properties calculated at the GGA-PBE level.

The electronic total energy is -9.44 eV per atom. Its space group is P-6m2 (187).

abc: 3.1281 3.1281 13.2455
angles: 90.00 90.00 120.00
With the nearest neighbours (Å) after each atom.
Element x y z (fractional)
1 Cu 0.0000 0.0000 0.0000  6 W 2.71
2 Sn 0.6667 0.3333 0.5000  6 W 2.96, 6 Sn 3.13
3 W 0.0000 0.0000 0.3230  3 C 2.13
4 W 0.0000 0.0000 0.6770  3 C 2.13
5 W 0.6667 0.3333 0.1521  3 C 2.13
6 W 0.6667 0.3333 0.8479  3 C 2.13
7 C 0.3333 0.6667 0.2379  6 W 2.13
8 C 0.3333 0.6667 0.7621  6 W 2.13

=====

Entry 12:
Below is a relaxed CsReNO crystal, with properties calculated at the GGA-PBE level.

Its space group is Pmc2_1 (26). As for the energy above the most stable polymorph in this dataset: 0.0254 eV/atom.

abc: 3.8530 6.5067 6.5896
angles: 90.00 90.00 90.00
With the nearest neighbours (Å) after each atom.
Element x y z (fractional)
1 Cs 0.0000 0.1674 0.0000  4 O 3.24-3.47, 4 N 3.29-3.38, 2 Re 3.59
2 Cs 0.0000 0.8326 0.5000  4 O 3.24-3.47, 4 N 3.29-3.38, 2 Re 3.59
3 Re 0.5000 0.3662 0.4990  2 N 1.86-1.87, 2 O 1.94
4 Re 0.5000 0.6338 0.9990  2 N 1.86-1.87, 2 O 1.94
5 N 0.5000 0.4923 0.2458  2 Re 1.86-1.87
6 N 0.5000 0.5077 0.7458  2 Re 1.86-1.87
7 O 0.0000 0.3299 0.5012  2 Re 1.94
8 O 0.0000 0.6701 0.0012  2 Re 1.94

=====

What did the seventh record say?
Below is a relaxed LuB crystal, with properties calculated at the GGA-PBE level.

Its space group is Fm-3m (225). As for the energy above the most stable polymorph in this dataset: 0.0914 eV/atom.

abc: 3.6698 3.6698 3.6698
angles: 60.00 60.00 60.00
With the nearest neighbours (Å) after each atom.
Element x y z (fractional)
1 Lu 0.0000 0.0000 0.0000  6 B 2.59
2 B 0.5000 0.5000 0.5000  6 Lu 2.59